(1)
# InAg2Os (GGA-PBE, relaxed)
data_InAg2Os
_chemical_formula_sum 'In1 Ag2 Os1'
_space_group_name_H-M_alt 'P 4 m m'
_space_group_IT_number 99
_cell_length_a 2.932
_cell_length_b 2.932
_cell_length_c 8.241
_cell_angle_alpha 90.00
_cell_angle_beta 90.00
_cell_angle_gamma 90.00
loop_
_space_group_symop_operation_xyz
'x,y,z'
'-y,x,z'
'-x,-y,z'
'y,-x,z'
'-x,y,z'
'y,x,z'
'x,-y,z'
'-y,-x,z'
loop_
_atom_site_label
_atom_site_type_symbol
_atom_site_fract_x
_atom_site_fract_y
_atom_site_fract_z
In1 In 0.000 0.000 0.000
Ag1 Ag 0.000 0.000 0.473
Ag2 Ag 0.500 0.500 0.727
Os1 Os 0.500 0.500 0.235
# Energy   -17.778 eV per formula unit
# Formation energy from the elements   0.473 eV per atom
# Calculated density   12.2 g cm⁻³



(2)
# Nd6Ni2SeBr3 (GGA-PBE, relaxed)
data_Nd6Ni2SeBr3
_chemical_formula_sum 'Nd12 Ni4 Se2 Br6'
_space_group_name_H-M_alt 'C 1 2/m 1'
_space_group_IT_number 12
_cell_length_a 7.280
_cell_length_b 12.552
_cell_length_c 7.807
_cell_angle_alpha 90.00
_cell_angle_beta 108.09
_cell_angle_gamma 90.00
loop_
_space_group_symop_operation_xyz
'x,y,z'
'-x,-y,-z'
'-x,y,-z'
'x,-y,z'
'x+1/2,y+1/2,z'
'-x+1/2,-y+1/2,-z'
'-x+1/2,y+1/2,-z'
'x+1/2,-y+1/2,z'
loop_
_atom_site_label
_atom_site_type_symbol
_atom_site_fract_x
_atom_site_fract_y
_atom_site_fract_z
Nd1 Nd 0.208 0.000 0.199
Nd2 Nd 0.247 0.321 0.201
Ni1 Ni 0.000 0.167 0.000
Se1 Se 0.000 0.500 0.000
Br1 Br 0.000 0.000 0.500
Br2 Br 0.000 0.341 0.500
# Energy   -61.277 eV per formula unit
# Calculated density   6.4 g cm⁻³
# Raw formation energy   -1.050 eV/atom



(3)
# Mo2C (GGA-PBE, relaxed)
data_Mo2C
_chemical_formula_sum 'Mo8 C4'
_space_group_name_H-M_alt 'C m c m'
_space_group_IT_number 63
_space_group_name_Hall '-C 2c 2'
_cell_length_a 3.030
_cell_length_b 11.293
_cell_length_c 4.435
_cell_angle_alpha 90.00
_cell_angle_beta 90.00
_cell_angle_gamma 90.00
loop_
_atom_site_label
_atom_site_type_symbol
_atom_site_fract_x
_atom_site_fract_y
_atom_site_fract_z
Mo1 Mo 0.000 0.064 0.250
Mo2 Mo 0.000 0.324 0.250
C1 C 0.000 0.311 0.750
# Energy   -30.815 eV per formula unit
# Formation energy from the elements   0.024 eV per atom
# Calculated density   8.9 g cm⁻³



(4)
# LaYOs (GGA-PBE, relaxed)
data_LaYOs
_chemical_formula_sum 'La4 Y4 Os4'
_space_group_name_H-M_alt 'F -4 3 m'
_space_group_IT_number 216
_space_group_name_Hall 'F -4 2 3'
_cell_length_a 6.915
_cell_length_b 6.915
_cell_length_c 6.915
_cell_angle_alpha 90.00
_cell_angle_beta 90.00
_cell_angle_gamma 90.00
loop_
_atom_site_label
_atom_site_type_symbol
_atom_site_fract_x
_atom_site_fract_y
_atom_site_fract_z
La1 La 0.000 0.000 0.000
Y1 Y 0.000 0.000 0.500
Os1 Os 0.250 0.250 0.750
# Energy   -23.015 eV per formula unit
# Energy relative to the lowest polymorph listed for this composition   0.00 kJ/mol of atoms
# Formation energy from the elements   -0.131 eV per atom
# Calculated density   8.4 g cm⁻³



(5)
# BeHgTeO6 (GGA-PBE, relaxed)
data_BeHgTeO6
_chemical_formula_sum 'Be1 Hg1 Te1 O6'
_space_group_name_H-M_alt 'P 3 1 2'
_space_group_IT_number 149
_cell_length_a 5.0641
_cell_length_b 5.0641
_cell_length_c 4.6805
_cell_angle_alpha 90.00
_cell_angle_beta 90.00
_cell_angle_gamma 120.00
loop_
_space_group_symop_operation_xyz
'x,y,z'
'-y,x-y,z'
'-x+y,-x,z'
'-y,-x,-z'
'-x+y,y,-z'
'x,x-y,-z'
loop_
_atom_site_label
_atom_site_type_symbol
_atom_site_fract_x
_atom_site_fract_y
_atom_site_fract_z
Be1 Be 0.0000 0.0000 0.0000
Hg1 Hg 0.6667 0.3333 0.5000
Te1 Te 0.3333 0.6667 0.0000
O1 O 0.0303 0.3193 0.7828
# Energy   -43.858 eV per formula unit
# Calculated density   6.9 g cm⁻³
# Raw formation energy   -0.771 eV/atom



(6)
# RbY2Fe (GGA-PBE, relaxed)
data_RbY2Fe
_chemical_formula_sum 'Rb4 Y8 Fe4'
_space_group_name_H-M_alt 'I 41/a m d'
_space_group_IT_number 141
_cell_length_a 7.862
_cell_length_b 7.862
_cell_length_c 11.134
_cell_angle_alpha 90.00
_cell_angle_beta 90.00
_cell_angle_gamma 90.00
loop_
_space_group_symop_operation_xyz
'x,y,z'
'-x,-y,-z'
'-y+1/4,x+3/4,z+1/4'
'y+1/4,-x+3/4,-z+1/4'
'-x+1/2,-y,z+1/2'
'x+1/2,y,-z+1/2'
'y+1/4,-x+1/4,z+3/4'
'-y+1/4,x+1/4,-z+3/4'
'x,-y,-z'
'-x,y,z'
'-y+1/4,-x+1/4,-z+3/4'
'y+1/4,x+1/4,z+3/4'
'-x+1/2,y,-z+1/2'
'x+1/2,-y,z+1/2'
'y+1/4,x+3/4,-z+1/4'
'-y+1/4,-x+3/4,z+1/4'
'x+1/2,y+1/2,z+1/2'
'-x+1/2,-y+1/2,-z+1/2'
'-y+3/4,x+1/4,z+3/4'
'y+3/4,-x+1/4,-z+3/4'
'-x,-y+1/2,z'
'x,y+1/2,-z'
'y+3/4,-x+3/4,z+1/4'
'-y+3/4,x+3/4,-z+1/4'
'x+1/2,-y+1/2,-z+1/2'
'-x+1/2,y+1/2,z+1/2'
'-y+3/4,-x+3/4,-z+1/4'
'y+3/4,x+3/4,z+1/4'
'-x,y+1/2,-z'
'x,-y+1/2,z'
'y+3/4,x+1/4,-z+3/4'
'-y+3/4,-x+1/4,z+3/4'
loop_
_atom_site_label
_atom_site_type_symbol
_atom_site_fract_x
_atom_site_fract_y
_atom_site_fract_z
Rb1 Rb 0.000 0.250 0.375
Y1 Y 0.000 0.000 0.000
Fe1 Fe 0.000 0.250 0.875
# Energy   -19.904 eV per formula unit
# Energy relative to the lowest polymorph listed for this composition   0.00 kJ/mol of atoms
# Formation energy from the elements   0.614 eV per atom
# Calculated density   3.1 g cm⁻³



(7)
# PrThTePb (GGA-PBE, relaxed)
data_PrThTePb
_chemical_formula_sum 'Pr3 Th3 Te3 Pb3'
_space_group_name_H-M_alt 'R 3 m'
_space_group_IT_number 160
_space_group_name_Hall 'R 3 -2"'
_cell_length_a 4.5934
_cell_length_b 4.5934
_cell_length_c 22.0056
_cell_angle_alpha 90.00
_cell_angle_beta 90.00
_cell_angle_gamma 120.00
loop_
_atom_site_label
_atom_site_type_symbol
_atom_site_fract_x
_atom_site_fract_y
_atom_site_fract_z
Pr1 Pr 0.0000 0.0000 0.0000
Th1 Th 0.0000 0.0000 0.4967
Te1 Te 0.0000 0.0000 0.2473
Pb1 Pb 0.0000 0.0000 0.7494
# Energy   -22.449 eV per formula unit
# Energy relative to the lowest polymorph listed for this composition   0.00 kJ/mol of atoms
# Calculated density   8.8 g cm⁻³
# Raw formation energy   -0.850 eV/atom



(8)
# Sn2AsBr (GGA-PBE, relaxed)
data_Sn2AsBr
_chemical_formula_sum 'Sn6 As3 Br3'
_space_group_name_H-M_alt 'R -3 m'
_space_group_IT_number 166
_space_group_name_Hall '-R 3 2"'
_cell_length_a 4.2918
_cell_length_b 4.2918
_cell_length_c 22.0737
_cell_angle_alpha 90.00
_cell_angle_beta 90.00
_cell_angle_gamma 120.00
loop_
_atom_site_label
_atom_site_type_symbol
_atom_site_fract_x
_atom_site_fract_y
_atom_site_fract_z
Sn1 Sn 0.0000 0.0000 0.2366
As1 As 0.0000 0.0000 0.5000
Br1 Br 0.0000 0.0000 0.0000
# Energy   -15.442 eV per formula unit
# Energy relative to the lowest polymorph listed for this composition   0.00 kJ/mol of atoms
# Calculated density   5.5 g cm⁻³
# Raw formation energy   -0.279 eV/atom



(9)
# Nd5Y4In4 (GGA-PBE, relaxed)
data_Nd5Y4In4
_chemical_formula_sum 'Nd10 Y8 In8'
_space_group_name_H-M_alt 'I 4/m'
_space_group_IT_number 87
_space_group_name_Hall '-I 4'
_cell_length_a 12.500
_cell_length_b 12.500
_cell_length_c 5.155
_cell_angle_alpha 90.00
_cell_angle_beta 90.00
_cell_angle_gamma 90.00
loop_
_atom_site_label
_atom_site_type_symbol
_atom_site_fract_x
_atom_site_fract_y
_atom_site_fract_z
Nd1 Nd 0.000 0.000 0.000
Nd2 Nd 0.099 0.189 0.500
Y1 Y 0.096 0.391 0.000
In1 In 0.105 0.762 0.000
# Energy   -64.826 eV per formula unit
# Formation energy from the elements   -0.321 eV per atom
# Calculated density   6.3 g cm⁻³



(10)
# MgBe2GaPb (GGA-PBE, relaxed)
data_MgBe2GaPb
_chemical_formula_sum 'Mg1 Be2 Ga1 Pb1'
_space_group_name_H-M_alt 'P 4/m m m'
_space_group_IT_number 123
_space_group_name_Hall '-P 4 2'
_cell_length_a 4.335
_cell_length_b 4.335
_cell_length_c 5.373
_cell_angle_alpha 90.00
_cell_angle_beta 90.00
_cell_angle_gamma 90.00
loop_
_atom_site_label
_atom_site_type_symbol
_atom_site_fract_x
_atom_site_fract_y
_atom_site_fract_z
Mg1 Mg 0.000 0.000 0.000
Be1 Be 0.000 0.500 0.500
Ga1 Ga 0.000 0.000 0.500
Pb1 Pb 0.500 0.500 0.000
# Energy   -13.014 eV per formula unit
# Formation energy from the elements   0.554 eV per atom
# Calculated density   5.2 g cm⁻³



(11)
# Y3PdW (GGA-PBE, relaxed)
data_Y3PdW
_chemical_formula_sum 'Y3 Pd1 W1'
_space_group_name_H-M_alt 'P m -3 m'
_space_group_IT_number 221
_space_group_name_Hall '-P 4 2 3'
_cell_length_a 5.251
_cell_length_b 5.251
_cell_length_c 5.251
_cell_angle_alpha 90.00
_cell_angle_beta 90.00
_cell_angle_gamma 90.00
loop_
_atom_site_label
_atom_site_type_symbol
_atom_site_fract_x
_atom_site_fract_y
_atom_site_fract_z
Y1 Y 0.000 0.000 0.500
Pd1 Pd 0.000 0.000 0.000
W1 W 0.500 0.500 0.500
# Energy   -33.905 eV per formula unit
# Energy relative to the lowest polymorph listed for this composition   11.95 kJ/mol of atoms
# Formation energy from the elements   0.727 eV per atom
# Calculated density   6.4 g cm⁻³